(1)
## Th6Rh2CSe3 (PBE)

Data for a relaxed Th6Rh2CSe3 crystal.

Output
**E**: -92.27 eV/cell
**SG**: C2/m, No. 12
**Uncorrected formation energy**: -1.114 eV/atom

a b c (Å): 3.9737 8.6135 9.4908
angles (deg): 105.84 102.08 90.00
Fractional coordinates of all 12 atoms:
Th1 0.3514 0.9090 0.7027
Th2 0.6687 0.5679 0.3375
Th3 0.6486 0.0910 0.2973
Th4 0.0003 0.2092 0.0005
Th5 0.9997 0.7908 0.9995
Th6 0.3313 0.4321 0.6625
Rh1 0.8348 0.6637 0.6696
Rh2 0.1652 0.3363 0.3304
C1 0.5000 0.0000 0.0000
Se1 0.5000 0.5000 0.0000
Se2 0.8291 0.1611 0.6583
Se3 0.1709 0.8389 0.3417

(2)
## Rb2Er2BiS6 (PBE)

Data for a relaxed Rb2Er2BiS6 crystal.

Output
**E**: -54.85 eV/cell
**SG**: C2/m, No. 12
**Uncorrected formation energy**: -1.377 eV/atom

a b c (Å): 6.9278 6.9278 8.2552
angles (deg): 97.89 97.89 120.17
Fractional coordinates of all 11 atoms:
Rb1 0.8342 0.1658 0.0000
Rb2 0.1658 0.8342 0.0000
Er1 0.3331 0.6669 0.5000
Er2 0.6669 0.3331 0.5000
Bi1 0.0000 0.0000 0.5000
S1 0.7259 0.7259 0.6884
S2 0.0612 0.3994 0.6883
S3 0.2741 0.2741 0.3116
S4 0.3994 0.0612 0.6883
S5 0.9388 0.6006 0.3117
S6 0.6006 0.9388 0.3117

(3)
## SrPrLu (PBE)

Data for a relaxed SrPrLu crystal.

Output
**E**: -10.55 eV/cell
**Energy of formation**: 0.1458 eV/atom
**SG**: P3m1, No. 156
**ΔE to the lowest computed polymorph**: 0.021 eV per atom

a b c (Å): 3.7540 3.7540 9.3126
angles (deg): 90.00 90.00 120.00
Fractional coordinates of all 3 atoms:
Pr1 0.6667 0.3333 0.3574
Sr1 0.0000 0.0000 0.9920
Lu1 0.3333 0.6667 0.6505

What are the magnetization values for these records? In order: 0.0000; 0.0000; 0.0007 μB per atom.
What are the DOS at the Fermi energy values for these records? In order: 9.8; 4.2; 4.3 states/eV/cell.